Record 1
! Mn3Ru5 (PBE, optimized geometry); values from VASP
! formation enthalpy at 0 K: 0.29 eV per atom
! uncorrected energy: -143.2 eV per cell
&SYSTEM
  ibrav = 0, nat = 16, ntyp = 2
/
ATOMIC_SPECIES
Mn 54.94 Mn.upf
Ru 101.07 Ru.upf
ATOMIC_POSITIONS crystal
Mn 0.000 0.401 0.250
Mn 0.000 0.599 0.750
Mn 0.401 0.000 0.250
Mn 0.401 0.401 0.750
Mn 0.599 0.000 0.750
Mn 0.599 0.599 0.250
Ru 0.000 0.233 0.750
Ru 0.000 0.767 0.250
Ru 0.233 0.000 0.750
Ru 0.233 0.233 0.250
Ru 0.333 0.667 0.000
Ru 0.333 0.667 0.500
Ru 0.667 0.333 0.000
Ru 0.667 0.333 0.500
Ru 0.767 0.000 0.250
Ru 0.767 0.767 0.750
CELL_PARAMETERS angstrom
7.175 0.000 0.000
-3.588 6.214 0.000
0.000 0.000 4.949

---

Record 2
! AgSb2Br (PBE, optimized geometry); values from VASP
! E_form (uncorrected): 107 meV per atom
! uncorrected energy: -24.7 eV per cell
&SYSTEM
  ibrav = 0, nat = 8, ntyp = 3
/
ATOMIC_SPECIES
Ag 107.87 Ag.upf
Sb 121.76 Sb.upf
Br 79.90 Br.upf
ATOMIC_POSITIONS crystal
Ag 0.000 0.000 0.000
Ag 0.750 0.250 0.500
Sb 0.087 0.625 0.962
Sb 0.375 0.337 0.462
Sb 0.663 0.125 0.038
Sb 0.875 0.913 0.538
Br 0.250 0.750 0.500
Br 0.500 0.500 0.000
CELL_PARAMETERS angstrom
-2.178 2.178 11.783
2.178 -2.178 11.783
2.178 2.178 -11.783

---

Record 3
! Pr3SmErTm (PBE, optimized geometry); values from VASP
! formation enthalpy at 0 K: 0.02 eV per atom
! uncorrected energy: -55.9 eV per cell
&SYSTEM
  ibrav = 0, nat = 12, ntyp = 4
/
ATOMIC_SPECIES
Pr 140.91 Pr.upf
Sm 150.36 Sm.upf
Er 167.26 Er.upf
Tm 168.93 Tm.upf
ATOMIC_POSITIONS crystal
Pr 0.166 0.834 0.501
Pr 0.166 0.834 0.999
Pr 0.333 0.667 0.750
Pr 0.667 0.333 0.250
Pr 0.834 0.166 0.001
Pr 0.834 0.166 0.499
Sm 0.500 0.500 0.000
Sm 0.500 0.500 0.500
Er 0.002 0.998 0.750
Er 0.998 0.002 0.250
Tm 0.336 0.664 0.250
Tm 0.664 0.336 0.750
CELL_PARAMETERS angstrom
2.564 -7.714 0.000
2.564 7.714 0.000
0.000 0.000 10.240

---

Record 4
! Ce2PrPaSe5 (PBE, optimized geometry); values from VASP
! E_form (uncorrected): -1111 meV per atom
! uncorrected energy: -53.6 eV per cell
&SYSTEM
  ibrav = 0, nat = 9, ntyp = 4
/
ATOMIC_SPECIES
Ce 140.12 Ce.upf
Pr 140.91 Pr.upf
Pa 231.04 Pa.upf
Se 78.96 Se.upf
ATOMIC_POSITIONS crystal
Ce 0.000 0.000 0.185
Ce 0.000 0.000 0.815
Pr 0.500 0.500 0.500
Pa 0.500 0.500 0.000
Se 0.000 0.000 0.500
Se 0.000 0.500 0.000
Se 0.500 0.000 0.000
Se 0.500 0.500 0.250
Se 0.500 0.500 0.750
CELL_PARAMETERS angstrom
5.203 0.000 0.000
0.000 5.203 0.000
0.000 0.000 11.037

---

Record 5
! TmThSn2 (PBE, optimized geometry); values from VASP
! formation enthalpy at 0 K: -0.39 eV per atom
! uncorrected energy: -21.4 eV per cell
&SYSTEM
  ibrav = 0, nat = 4, ntyp = 3
/
ATOMIC_SPECIES
Tm 168.93 Tm.upf
Th 232.04 Th.upf
Sn 118.71 Sn.upf
ATOMIC_POSITIONS crystal
Tm 0.000 0.000 0.000
Th 0.500 0.500 0.500
Sn 0.254 0.254 0.254
Sn 0.746 0.746 0.746
CELL_PARAMETERS angstrom
1.784 1.030 10.189
-1.784 1.030 10.189
0.000 -2.060 10.189

---

Record 6
! Ac2HgPdO5 (PBE, optimized geometry); values from VASP
! E_form (uncorrected): -1868 meV per atom
! uncorrected energy: -110.6 eV per cell
&SYSTEM
  ibrav = 0, nat = 18, ntyp = 4
/
ATOMIC_SPECIES
Ac 227.00 Ac.upf
Hg 200.59 Hg.upf
Pd 106.42 Pd.upf
O 16.00 O.upf
ATOMIC_POSITIONS crystal
Ac 0.178 0.322 0.000
Ac 0.322 0.822 0.000
Ac 0.678 0.178 0.000
Ac 0.822 0.678 0.000
Hg 0.000 0.000 0.500
Hg 0.500 0.500 0.500
Pd 0.000 0.500 0.500
Pd 0.500 0.000 0.500
O 0.000 0.000 0.000
O 0.131 0.631 0.249
O 0.131 0.631 0.751
O 0.369 0.131 0.249
O 0.369 0.131 0.751
O 0.500 0.500 0.000
O 0.631 0.869 0.249
O 0.631 0.869 0.751
O 0.869 0.369 0.249
O 0.869 0.369 0.751
CELL_PARAMETERS angstrom
7.369 0.000 0.000
0.000 7.369 0.000
0.000 0.000 5.716